Density functional theory data (PBE-GGA) for Tb4PmNd10 after structural relaxation.

Unit cell a=9.6148 b=9.6148 c=9.6148 alpha=99.55 beta=99.55 gamma=131.92
Last column: nearest neighbours and their distance in Å.
Fractional coordinates of all 15 atoms:
Tb: 0.1006 0.2996 0.4002  8 Nd 3.39-3.40
Tb: 0.2996 0.8994 0.1990  8 Nd 3.39-3.40
Tb: 0.7004 0.1006 0.8010  8 Nd 3.39-3.40
Tb: 0.8994 0.7004 0.5998  8 Nd 3.39-3.40
Pm: 0.5000 0.5000 0.0000  8 Nd 3.41
Nd: 0.0478 0.1494 0.6989  3 Tb 3.39-3.40, 1 Pm 3.41
Nd: 0.1494 0.4504 0.1016  3 Tb 3.39-3.40, 1 Pm 3.41
Nd: 0.2500 0.7500 0.5000  4 Tb 3.40
Nd: 0.3488 0.0478 0.8984  3 Tb 3.39-3.40, 1 Pm 3.41
Nd: 0.4504 0.3488 0.3011  3 Tb 3.39-3.40, 1 Pm 3.41
Nd: 0.5496 0.6512 0.6989  3 Tb 3.39-3.40, 1 Pm 3.41
Nd: 0.6512 0.9522 0.1016  3 Tb 3.39-3.40, 1 Pm 3.41
Nd: 0.7500 0.2500 0.5000  4 Tb 3.40
Nd: 0.8506 0.5496 0.8984  3 Tb 3.39-3.40, 1 Pm 3.41
Nd: 0.9522 0.8506 0.3011  3 Tb 3.39-3.40, 1 Pm 3.41

Computed properties:
Crystal system: tetragonal
Volume in A^3/atom: 40.27
Theoretical density in g/cm³: 6.112
M_tot in μB per atom: 0.00
Final energy in eV/atom: -4.03
Formation energy from the elements in meV per atom: 697